1.
# Rb2TaMoO6

Crystalline Rb2TaMoO6 at its relaxed geometry (PBE+U, the Alexandria database). Values from VASP.

Results
The calculation puts the total DFT energy (no corrections) at -7.165 eV per atom. For the density of states at the Fermi level, the calculation gives 0.69 states/eV/cell. The total magnetization comes out at 1.00 μB/f.u.

```
&SYSTEM
  ibrav = 0, nat = 10, ntyp = 4
/
ATOMIC_SPECIES
Rb 85.47 Rb.upf
Ta 180.95 Ta.upf
Mo 95.94 Mo.upf
O 16.00 O.upf
CELL_PARAMETERS angstrom
5.7509 0.0377 0.0039
0.0371 5.7510 -0.0049
2.8972 2.8918 4.0920
ATOMIC_POSITIONS crystal
Rb 0.7503 0.2502 0.4999
Rb 0.2498 0.7497 0.5001
Ta 0.0001 0.9999 0.0000
Mo 0.5000 0.5000 0.0000
O 0.2442 0.2443 0.5116
O 0.7558 0.7559 0.9999
O 0.2608 0.7405 0.9987
O 0.7391 0.2596 0.0013
O 0.2442 0.2441 0.0001
O 0.7558 0.7557 0.4884
```

2.
# RbTaMoO6

Crystalline RbTaMoO6 at its relaxed geometry (PBE+U, the Alexandria database). Values from VASP.

Results
The calculation puts the total DFT energy (no corrections) at -7.726 eV per atom. For the density of states at the Fermi level, the calculation gives 0.00 states/eV/cell. The total magnetization comes out at 0.00 μB/f.u.

```
&SYSTEM
  ibrav = 0, nat = 18, ntyp = 4
/
ATOMIC_SPECIES
Rb 85.47 Rb.upf
Ta 180.95 Ta.upf
Mo 95.94 Mo.upf
O 16.00 O.upf
CELL_PARAMETERS angstrom
7.4298 0.0000 0.0000
0.0000 7.3927 0.0000
-3.7149 -3.6963 5.2480
ATOMIC_POSITIONS crystal
Rb 0.8840 0.6340 0.7680
Rb 0.1160 0.3660 0.2320
Ta 0.5000 0.0000 0.5000
Ta 0.0000 0.0000 0.5000
Mo 0.5000 0.5000 0.0000
Mo 0.5000 0.0000 0.0000
O 0.4413 0.6913 0.8826
O 0.8143 0.0643 0.6285
O 0.8058 0.0620 0.2456
O 0.4397 0.6836 0.2456
O 0.4397 0.0620 0.2456
O 0.8058 0.6836 0.2456
O 0.5587 0.3087 0.1174
O 0.1857 0.9357 0.3715
O 0.1942 0.9380 0.7544
O 0.5603 0.3164 0.7544
O 0.5603 0.9380 0.7544
O 0.1942 0.3164 0.7544
```

3.
# Rb4Tb3MoO8

Crystalline Rb4Tb3MoO8 at its relaxed geometry (PBE+U, the Alexandria database). Values from VASP.

Results
The calculation puts the total DFT energy (no corrections) at -6.416 eV per atom. For the density of states at the Fermi level, the calculation gives 0.00 states/eV/cell. The total magnetization comes out at 3.00 μB/f.u.

```
&SYSTEM
  ibrav = 0, nat = 16, ntyp = 4
/
ATOMIC_SPECIES
Rb 85.47 Rb.upf
Tb 158.93 Tb.upf
Mo 95.94 Mo.upf
O 16.00 O.upf
CELL_PARAMETERS angstrom
6.9702 0.0000 0.0000
0.0000 7.6538 0.4640
-3.4851 -3.4732 4.9377
ATOMIC_POSITIONS crystal
Rb 0.5000 0.0000 0.0000
Rb 0.5000 0.0000 0.5000
Rb 0.0000 0.0000 0.0000
Rb 0.0000 0.0000 0.5000
Tb 0.5000 0.5000 0.0000
Tb 0.5000 0.5000 0.5000
Tb 0.0000 0.5000 0.5000
Mo 0.0000 0.5000 0.0000
O 0.2211 0.6752 0.9540
O 0.2211 0.6752 0.4423
O 0.2744 0.3232 0.5489
O 0.7329 0.6752 0.9540
O 0.2671 0.3248 0.0460
O 0.7256 0.6768 0.4511
O 0.7789 0.3248 0.5577
O 0.7789 0.3248 0.0460
```

4.
# Rb2TbMo3O12

Crystalline Rb2TbMo3O12 at its relaxed geometry (PBE+U, the Alexandria database). Values from VASP.

Results
The calculation puts the total DFT energy (no corrections) at -6.691 eV per atom. For the density of states at the Fermi level, the calculation gives 10.63 states/eV/cell. The total magnetization comes out at 1.03 μB/f.u.

```
&SYSTEM
  ibrav = 0, nat = 18, ntyp = 4
/
ATOMIC_SPECIES
Rb 85.47 Rb.upf
Tb 158.93 Tb.upf
Mo 95.94 Mo.upf
O 16.00 O.upf
CELL_PARAMETERS angstrom
-5.8186 -1.5373 -4.6683
-0.8045 -6.9065 -3.1088
-5.6397 -4.6364 2.1703
ATOMIC_POSITIONS crystal
Rb 0.6327 0.6327 0.6327
Rb 0.3673 0.3673 0.3673
Tb 0.0000 0.0000 0.0000
Mo 0.5000 0.0000 0.0000
Mo 0.0000 0.5000 0.0000
Mo 0.0000 0.0000 0.5000
O 0.2990 0.2990 0.9341
O 0.9216 0.9216 0.3579
O 0.3579 0.9216 0.9216
O 0.9341 0.2990 0.2990
O 0.9216 0.3579 0.9216
O 0.2990 0.9341 0.2990
O 0.7010 0.7010 0.0659
O 0.0784 0.0784 0.6421
O 0.6421 0.0784 0.0784
O 0.0659 0.7010 0.7010
O 0.0784 0.6421 0.0784
O 0.7010 0.0659 0.7010
```

5.
# RbTbMoO5

Crystalline RbTbMoO5 at its relaxed geometry (PBE+U, the Alexandria database). Values from VASP.

Results
The calculation puts the total DFT energy (no corrections) at -6.958 eV per atom. The total magnetization comes out at 0.00 μB/f.u.

```
&SYSTEM
  ibrav = 0, nat = 16, ntyp = 4
/
ATOMIC_SPECIES
Rb 85.47 Rb.upf
Tb 158.93 Tb.upf
Mo 95.94 Mo.upf
O 16.00 O.upf
CELL_PARAMETERS angstrom
-5.5249 -1.9036 -2.8964
4.8044 -3.1223 -3.1154
-0.2499 -3.4588 7.4595
ATOMIC_POSITIONS crystal
Rb 0.3215 0.6785 0.2500
Rb 0.6785 0.3215 0.7500
Tb 0.0000 0.0000 0.5000
Tb 0.0000 0.0000 0.0000
Mo 0.6860 0.3140 0.2500
Mo 0.3140 0.6860 0.7500
O 0.0639 0.9361 0.2500
O 0.9361 0.0639 0.7500
O 0.8701 0.2970 0.1203
O 0.1299 0.7030 0.8797
O 0.7030 0.1299 0.3797
O 0.2970 0.8701 0.6203
O 0.7680 0.6012 0.3969
O 0.2320 0.3988 0.6031
O 0.3988 0.2320 0.1031
O 0.6012 0.7680 0.8969
```

6.
# Rb3TbMo2O8

Crystalline Rb3TbMo2O8 at its relaxed geometry (PBE+U, the Alexandria database). Values from VASP.

Results
The calculation puts the total DFT energy (no corrections) at -6.381 eV per atom. For the density of states at the Fermi level, the calculation gives 6.29 states/eV/cell. The total magnetization comes out at 2.00 μB/f.u.

```
&SYSTEM
  ibrav = 0, nat = 14, ntyp = 4
/
ATOMIC_SPECIES
Rb 85.47 Rb.upf
Tb 158.93 Tb.upf
Mo 95.94 Mo.upf
O 16.00 O.upf
CELL_PARAMETERS angstrom
-1.2099 5.5286 2.6108
-0.2745 -5.1945 3.4332
7.7871 0.8225 1.8671
ATOMIC_POSITIONS crystal
Rb 0.3333 0.6667 0.6792
Rb 0.6667 0.3333 0.3208
Rb 0.0000 0.0000 0.0000
Tb 0.0000 0.0000 0.5000
Mo 0.3333 0.6667 0.2410
Mo 0.6667 0.3333 0.7590
O 0.3333 0.6667 0.0176
O 0.6667 0.3333 0.9824
O 0.1717 0.8283 0.3325
O 0.8283 0.1717 0.6675
O 0.1717 0.3434 0.3325
O 0.8283 0.6566 0.6675
O 0.6566 0.8283 0.3325
O 0.3434 0.1717 0.6675
```

7.
# Rb2TcMoO6

Crystalline Rb2TcMoO6 at its relaxed geometry (PBE+U, the Alexandria database). Values from VASP.

Results
The calculation puts the total DFT energy (no corrections) at -6.480 eV per atom. For the density of states at the Fermi level, the calculation gives 2.79 states/eV/cell. The total magnetization comes out at 0.00 μB/f.u.

```
&SYSTEM
  ibrav = 0, nat = 10, ntyp = 4
/
ATOMIC_SPECIES
Rb 85.47 Rb.upf
Tc 98.00 Tc.upf
Mo 95.94 Mo.upf
O 16.00 O.upf
CELL_PARAMETERS angstrom
3.9924 0.0000 0.0000
0.0000 5.6736 0.0000
0.0000 0.0000 5.6736
ATOMIC_POSITIONS crystal
Rb 0.1446 0.5000 0.0000
Rb 0.1446 0.0000 0.5000
Tc 0.6447 0.0000 0.0000
Mo 0.6446 0.5000 0.5000
O 0.6447 0.2528 0.2528
O 0.6447 0.2528 0.7472
O 0.1447 0.5000 0.5000
O 0.1447 0.0000 0.0000
O 0.6447 0.7472 0.7472
O 0.6447 0.7472 0.2528
```

8.
# RbTh2MoO8

Crystalline RbTh2MoO8 at its relaxed geometry (PBE+U, the Alexandria database). Values from VASP.

Results
The calculation puts the total DFT energy (no corrections) at -7.697 eV per atom. For the density of states at the Fermi level, the calculation gives 1.24 states/eV/cell. The total magnetization comes out at 0.20 μB/f.u.

```
&SYSTEM
  ibrav = 0, nat = 12, ntyp = 4
/
ATOMIC_SPECIES
Rb 85.47 Rb.upf
Th 232.04 Th.upf
Mo 95.94 Mo.upf
O 16.00 O.upf
CELL_PARAMETERS angstrom
5.5040 -0.5649 -0.1803
-0.4786 4.9872 0.7032
-0.2958 1.3494 7.2244
ATOMIC_POSITIONS crystal
Rb 0.0000 0.0000 0.5000
Th 0.5461 0.3681 0.7880
Th 0.4539 0.6319 0.2120
Mo 0.0000 0.0000 0.0000
O 0.0640 0.7130 0.2345
O 0.7418 0.7092 0.9323
O 0.7274 0.0799 0.1102
O 0.9360 0.2870 0.7655
O 0.2582 0.2908 0.0677
O 0.2726 0.9201 0.8898
O 0.5004 0.7225 0.5084
O 0.4996 0.2775 0.4916
```